# Ti2NbP2 GGA-PBE optimized geometry
# total magnetic moment: 0.00 Bohr magnetons per cell
# DOS(E_F): 3.35 states/eV/f.u.
# final energy: -7.905 eV/atom
# excess energy over the best structure of this formula in the dataset: 459 meV/atom
data_Ti2NbP2
_chemical_formula_sum 'Ti8 Nb4 P8'
_cell_length_a 8.377
_cell_length_b 9.102
_cell_length_c 6.108
_cell_angle_alpha 90.00
_cell_angle_beta 132.88
_cell_angle_gamma 90.00
_space_group_name_H-M_alt 'C 1 2/c 1'
_space_group_IT_number 15
loop_
_space_group_symop_operation_xyz
'x,y,z'
'-x,-y,-z'
'-x,y,-z+1/2'
'x,-y,z+1/2'
'x+1/2,y+1/2,z'
'-x+1/2,-y+1/2,-z'
'-x+1/2,y+1/2,-z+1/2'
'x+1/2,-y+1/2,z+1/2'
loop_
_atom_site_label
_atom_site_fract_x
_atom_site_fract_y
_atom_site_fract_z
Ti1 0.162 0.124 0.251
Nb1 0.000 0.376 0.750
P1 0.000 0.102 0.750
P2 0.000 0.351 0.250

=====

# LaTb2PmIn4 GGA-PBE optimized geometry
# total magnetic moment: 0.00 Bohr magnetons per cell
# DOS(E_F): 4.11 states/eV/f.u.
# final energy: -4.223 eV/atom
data_LaTb2PmIn4
_chemical_formula_sum 'La3 Tb6 Pm3 In12'
_cell_length_a 5.4260
_cell_length_b 5.4260
_cell_length_c 26.6447
_cell_angle_alpha 90.00
_cell_angle_beta 90.00
_cell_angle_gamma 120.00
_space_group_name_H-M_alt 'R -3 m'
_space_group_IT_number 166
_space_group_name_Hall '-R 3 2"'
loop_
_atom_site_label
_atom_site_fract_x
_atom_site_fract_y
_atom_site_fract_z
La1 0.0000 0.0000 0.0000
Tb1 0.0000 0.0000 0.2499
Pm1 0.0000 0.0000 0.5000
In1 0.0000 0.0000 0.1262
In2 0.0000 0.0000 0.3761

=====

# Gd2GaAs GGA-PBE optimized geometry
# total magnetic moment: 42.21 Bohr magnetons per cell
# DOS(E_F): 2.21 states/eV/f.u.
# final energy: -9.892 eV/atom
data_Gd2GaAs
_chemical_formula_sum 'Gd6 Ga3 As3'
_cell_length_a 4.0255
_cell_length_b 4.0255
_cell_length_c 22.5239
_cell_angle_alpha 90.00
_cell_angle_beta 90.00
_cell_angle_gamma 120.00
_space_group_name_H-M_alt 'R -3 m'
_space_group_IT_number 166
_space_group_name_Hall '-R 3 2"'
loop_
_atom_site_label
_atom_site_fract_x
_atom_site_fract_y
_atom_site_fract_z
Gd1 0.0000 0.0000 0.2427
Ga1 0.0000 0.0000 0.0000
As1 0.0000 0.0000 0.5000

=====

# Ag2HgIrN GGA-PBE optimized geometry
# total magnetic moment: 0.00 Bohr magnetons per cell
# DOS(E_F): 2.90 states/eV/f.u.
# final energy: -3.517 eV/atom
data_Ag2HgIrN
_chemical_formula_sum 'Ag2 Hg1 Ir1 N1'
_cell_length_a 4.221
_cell_length_b 4.221
_cell_length_c 4.658
_cell_angle_alpha 90.00
_cell_angle_beta 90.00
_cell_angle_gamma 90.00
_space_group_name_H-M_alt 'P 4/m m m'
_space_group_IT_number 123
_space_group_name_Hall '-P 4 2'
loop_
_atom_site_label
_atom_site_fract_x
_atom_site_fract_y
_atom_site_fract_z
Ag1 0.000 0.500 0.000
Hg1 0.000 0.000 0.500
Ir1 0.500 0.500 0.500
N1 0.000 0.000 0.000

=====

# Er2HPd9 GGA-PBE optimized geometry
# total magnetic moment: 0.00 Bohr magnetons per cell
# DOS(E_F): 11.04 states/eV/f.u.
# final energy: -5.367 eV/atom
data_Er2HPd9
_chemical_formula_sum 'Er2 H1 Pd9'
_cell_length_a 4.116
_cell_length_b 4.116
_cell_length_c 11.378
_cell_angle_alpha 90.00
_cell_angle_beta 90.00
_cell_angle_gamma 90.00
_space_group_name_H-M_alt 'P 4/m m m'
_space_group_IT_number 123
_space_group_name_Hall '-P 4 2'
loop_
_atom_site_label
_atom_site_fract_x
_atom_site_fract_y
_atom_site_fract_z
Er1 0.000 0.000 0.182
H1 0.000 0.000 0.500
Pd1 0.000 0.500 0.000
Pd2 0.000 0.500 0.358
Pd3 0.500 0.500 0.177
Pd4 0.500 0.500 0.500

=====

# LaTbCoCu GGA-PBE optimized geometry
# total magnetic moment: 0.00 Bohr magnetons per cell
# DOS(E_F): 4.56 states/eV/f.u.
# final energy: -5.283 eV/atom
# excess energy over the best structure of this formula in the dataset: 62 meV/atom
data_LaTbCoCu
_chemical_formula_sum 'La4 Tb4 Co4 Cu4'
_cell_length_a 6.993
_cell_length_b 6.993
_cell_length_c 6.993
_cell_angle_alpha 90.00
_cell_angle_beta 90.00
_cell_angle_gamma 90.00
_space_group_name_H-M_alt 'F -4 3 m'
_space_group_IT_number 216
_space_group_name_Hall 'F -4 2 3'
loop_
_atom_site_label
_atom_site_fract_x
_atom_site_fract_y
_atom_site_fract_z
La1 0.000 0.000 0.000
Tb1 0.000 0.000 0.500
Co1 0.250 0.250 0.250
Cu1 0.250 0.250 0.750